(1)
Density functional theory data (PBE) for SrCd12Pt6 after structural relaxation.

Computed properties:
The spin magnetization is 0.00 Bohr magnetons per cell. As for the formation energy: -0.242 eV per atom. The calculation puts the volume at 421.86 Å³/cell.

Unit cell a=7.8599 b=7.8599 c=7.8599 alpha=105.29 beta=105.29 gamma=105.29
Last column: nearest neighbours and their distance in Å.
Fractional coordinates of all 19 atoms:
1 Sr 0.0000 0.0000 0.0000  6 Cd 3.52
2 Cd 0.1161 0.5000 0.8839  4 Pt 2.75-2.78, 3 Cd 2.90-3.03
3 Cd 0.1161 0.8839 0.5000  4 Pt 2.75-2.78, 3 Cd 2.90-3.03
4 Cd 0.1457 0.4052 0.4052  3 Pt 2.78-2.83, 2 Cd 3.03
5 Cd 0.4052 0.1457 0.4052  3 Pt 2.78-2.83, 2 Cd 3.03
6 Cd 0.4052 0.4052 0.1457  3 Pt 2.78-2.83, 2 Cd 3.03
7 Cd 0.5000 0.1161 0.8839  4 Pt 2.75-2.78, 3 Cd 2.90-3.03
8 Cd 0.5000 0.8839 0.1161  4 Pt 2.75-2.78, 3 Cd 2.90-3.03
9 Cd 0.5948 0.5948 0.8543  3 Pt 2.78-2.83, 2 Cd 3.03
10 Cd 0.5948 0.8543 0.5948  3 Pt 2.78-2.83, 2 Cd 3.03
11 Cd 0.8543 0.5948 0.5948  3 Pt 2.78-2.83, 2 Cd 3.03
12 Cd 0.8839 0.1161 0.5000  4 Pt 2.75-2.78, 3 Cd 2.90-3.03
13 Cd 0.8839 0.5000 0.1161  4 Pt 2.75-2.78, 3 Cd 2.90-3.03
14 Pt 0.2718 0.2718 0.6989  7 Cd 2.75-2.83
15 Pt 0.2718 0.6989 0.2718  7 Cd 2.75-2.83
16 Pt 0.3011 0.7282 0.7282  7 Cd 2.75-2.83
17 Pt 0.6989 0.2718 0.2718  7 Cd 2.75-2.83
18 Pt 0.7282 0.3011 0.7282  7 Cd 2.75-2.83
19 Pt 0.7282 0.7282 0.3011  7 Cd 2.75-2.83


(2)
Density functional theory data (PBE) for NdSm2Dy after structural relaxation.

Computed properties:
The spin magnetization is 0.00 Bohr magnetons per cell. As for the formation energy: 0.016 eV per atom. The calculation puts the volume at 134.05 Å³/cell.

Unit cell a=12.0042 b=12.0042 c=12.0042 alpha=17.34 beta=17.34 gamma=17.34
Last column: nearest neighbours and their distance in Å.
Fractional coordinates of all 4 atoms:
1 Nd 0.0000 0.0000 0.0000  6 Nd 3.62, 6 Sm 3.66
2 Sm 0.2486 0.2486 0.2486  3 Dy 3.58, 6 Sm 3.62, 3 Nd 3.66
3 Sm 0.7514 0.7514 0.7514  3 Dy 3.58, 6 Sm 3.62, 3 Nd 3.66
4 Dy 0.5000 0.5000 0.5000  6 Sm 3.58, 6 Dy 3.62


(3)
Density functional theory data (PBE) for LaTeOs2 after structural relaxation.

Computed properties:
The spin magnetization is 0.00 Bohr magnetons per cell. The calculation puts the volume at 82.57 Å³/cell. Its uncorrected formation energy is 0.36 eV/atom.

Unit cell a=3.1563 b=3.1563 c=8.2881 alpha=90.00 beta=90.00 gamma=90.00
Last column: nearest neighbours and their distance in Å.
Fractional coordinates of all 4 atoms:
1 La 0.0000 0.0000 0.0000  4 La 3.16, 4 Os 3.18, 4 Te 3.46
2 Te 0.5000 0.5000 0.6812  4 Os 2.95, 4 Te 3.16
3 Os 0.0000 0.0000 0.4491  4 Os 2.67, 4 Te 2.95
4 Os 0.5000 0.5000 0.2727  4 Os 2.67


(4)
Density functional theory data (PBE) for Tm2Sc4Si3O2 after structural relaxation.

Computed properties:
The spin magnetization is 0.00 Bohr magnetons per cell. The calculation puts the volume at 203.08 Å³/cell. Its uncorrected formation energy is -1.58 eV/atom.

Unit cell a=11.6631 b=11.6631 c=11.6631 alpha=159.03 beta=159.03 gamma=29.83
Last column: nearest neighbours and their distance in Å.
Fractional coordinates of all 11 atoms:
1 Tm 0.1957 0.1957 0.0000  1 O 2.34
2 Tm 0.8043 0.8043 0.0000  1 O 2.34
3 Sc 0.0794 0.5794 0.5000  2 O 2.14
4 Sc 0.4206 0.9206 0.5000  2 O 2.14
5 Sc 0.5794 0.0794 0.5000  2 O 2.14
6 Sc 0.9206 0.4206 0.5000  2 O 2.14
7 Si 0.3275 0.3275 0.0000  5 Tm 2.97-3.05, 4 Sc 2.99
8 Si 0.5000 0.5000 0.0000  8 Sc 2.78
9 Si 0.6725 0.6725 0.0000  5 Tm 2.97-3.05, 4 Sc 2.99
10 O 0.0921 0.0921 0.0000  4 Sc 2.14, 1 Tm 2.34
11 O 0.9079 0.9079 0.0000  4 Sc 2.14, 1 Tm 2.34